Entry 1:
K2ThF8 | PBE | relaxed

Geometry as POSCAR:
```
K2ThF8
1.0
7.162 -2.075 0.000
7.162 2.075 0.000
-2.926 0.000 5.783
K Th F
2 1 8
direct
0.181 0.181 0.181 K
0.819 0.819 0.819 K
0.500 0.500 0.500 Th
0.000 0.000 0.282 F
0.000 0.000 0.718 F
0.151 0.151 0.651 F
0.367 0.367 0.609 F
0.368 0.368 0.126 F
0.632 0.632 0.874 F
0.633 0.633 0.391 F
0.849 0.849 0.349 F
```

Summary:
Density: 4466 kg/m3
Formation energy from raw total energies: -2.850 eV/atom
Magnetization: 2.0 μB per formula unit
Space group: C2/m

---

Entry 2:
KThF6 | PBE | relaxed

Geometry as POSCAR:
```
KThF6
1.0
4.437 0.000 0.000
2.167 6.124 0.000
2.173 1.381 6.053
K Th F
1 1 6
direct
0.000 0.000 0.000 K
0.500 0.500 0.500 Th
0.059 0.315 0.565 F
0.278 0.726 0.727 F
0.476 0.234 0.813 F
0.524 0.766 0.187 F
0.722 0.274 0.273 F
0.941 0.685 0.435 F
```

Summary:
Density: 3888 kg/m3
Formation energy from raw total energies: -3.233 eV/atom
Magnetization: 1.1 μB per formula unit
Space group: P-1

---

Entry 3:
K2ThF6 | PBE | relaxed

Geometry as POSCAR:
```
K2ThF6
1.0
5.789 0.000 0.000
0.000 5.789 0.000
0.000 0.000 11.993
K Th F
4 2 12
direct
0.000 0.000 0.164 K
0.000 0.000 0.836 K
0.500 0.500 0.336 K
0.500 0.500 0.664 K
0.000 0.000 0.500 Th
0.500 0.500 0.000 Th
0.180 0.180 0.359 F
0.180 0.180 0.641 F
0.226 0.226 0.000 F
0.274 0.726 0.500 F
0.320 0.680 0.141 F
0.320 0.680 0.859 F
0.680 0.320 0.141 F
0.680 0.320 0.859 F
0.726 0.274 0.500 F
0.774 0.774 0.000 F
0.820 0.820 0.359 F
0.820 0.820 0.641 F
```

Summary:
Density: 3505 kg/m3
Formation energy from raw total energies: -3.582 eV/atom
Magnetization: 0.0 μB per formula unit
Space group: P4_2/mnm

---

Entry 4:
K2ThF6 | PBE | relaxed

Geometry as POSCAR:
```
K2ThF6
1.0
6.675 0.000 0.000
-3.338 5.781 0.000
0.000 0.000 3.854
K Th F
2 1 6
direct
0.333 0.667 0.000 K
0.667 0.333 0.000 K
0.000 0.000 0.500 Th
0.000 0.228 0.000 F
0.000 0.656 0.500 F
0.228 0.000 0.000 F
0.344 0.344 0.500 F
0.656 0.000 0.500 F
0.772 0.772 0.000 F
```

Summary:
Density: 4736 kg/m3
Formation energy from raw total energies: -3.622 eV/atom
Magnetization: 0.0 μB per formula unit
Space group: P-62m